Entry from Alexandria via LeMat-Bulk: an optimized crystal structure of NaGaNi2F8 (GGA+U).

a = 4.767 Å, b = 4.763 Å, c = 6.351 Å
α = 89.97°, β = 89.97°, γ = 89.07°
Each line ends with the local moment (μB).
Element x y z (fractional)
Na 0.000 0.000 0.500  0.00
F 0.804 0.199 0.785  0.02
Ga 0.000 0.000 0.000  0.02
F 0.320 0.317 0.500  0.08
F 0.296 0.294 0.000  0.04
F 0.197 0.801 0.784  0.02
F 0.680 0.683 0.500  0.08
F 0.704 0.706 0.000  0.04
F 0.196 0.801 0.215  0.02
Ni 0.500 0.500 0.748  1.85
Ni 0.500 0.500 0.252  1.85
F 0.803 0.199 0.216  0.02

Properties
Space group   P2/m (10)
E_tot   -0.1639 Ha/atom
Size of the total moment   4.1 μB per cell